Entry 1:
{"formula": "Sc2NbRe2", "functional": "PBE", "state": "relaxed", "lattice": [[6.6263, 0.0000, 0.0000], [0.0000, 6.6263, 0.0000], [0.0000, 0.0000, 4.4574]], "species": ["Sc", "Sc", "Sc", "Sc", "Re", "Re", "Re", "Re", "Nb", "Nb"], "fractional_positions": [[0.8264, 0.3264, 0.5000], [0.3264, 0.1736, 0.5000], [0.1736, 0.6736, 0.5000], [0.6736, 0.8264, 0.5000], [0.6299, 0.1299, 0.0000], [0.1299, 0.3701, 0.0000], [0.3701, 0.8701, 0.0000], [0.8701, 0.6299, 0.0000], [0.5000, 0.5000, 0.0000], [0.0000, 0.0000, 0.0000]], "dos_at_fermi_per_ev_fu": 4.74, "volume_a3_per_cell": 195.7, "energy_ev_per_fu": -47.36}

---

Entry 2:
{"formula": "YPI2O", "functional": "PBE", "state": "relaxed", "lattice": [[-6.2142, -0.3133, -0.1424], [0.1691, -0.5371, -6.1982], [0.2005, -4.1422, 0.3644]], "species": ["O", "Y", "I", "I", "P"], "fractional_positions": [[0.0000, 0.0000, 0.5000], [0.0000, 0.0000, 0.0000], [0.5000, 0.0000, 0.0000], [0.0000, 0.5000, 0.0000], [0.5000, 0.5000, 0.5000]], "dos_at_fermi_per_ev_fu": 3.83, "volume_a3_per_cell": 161.3, "energy_ev_per_fu": -22.87}

---

Entry 3:
{"formula": "KB", "functional": "PBE", "state": "relaxed", "lattice": [[12.9100, 0.0000, 0.0000], [0.0000, 12.9100, 0.0000], [0.0000, 0.0000, 3.1881]], "species": ["B", "B", "B", "B", "B", "B", "B", "B", "K", "K", "K", "K", "K", "K", "K", "K"], "fractional_positions": [[0.8252, 0.5000, 0.5000], [0.8178, 0.5000, 0.0000], [0.5000, 0.8252, 0.5000], [0.5000, 0.1748, 0.5000], [0.5000, 0.1822, 0.0000], [0.1748, 0.5000, 0.5000], [0.5000, 0.8178, 0.0000], [0.1822, 0.5000, 0.0000], [0.6638, 0.6638, 0.5000], [0.6453, 0.0000, 0.0000], [0.3362, 0.3362, 0.5000], [0.0000, 0.3547, 0.0000], [0.3547, 0.0000, 0.0000], [0.0000, 0.6453, 0.0000], [0.6638, 0.3362, 0.5000], [0.3362, 0.6638, 0.5000]], "dos_at_fermi_per_ev_fu": 0.38, "volume_a3_per_cell": 531.4, "energy_ev_per_fu": -7.23}

---

Please write out number 1 again, unchanged.
{"formula": "Sc2NbRe2", "functional": "PBE", "state": "relaxed", "lattice": [[6.6263, 0.0000, 0.0000], [0.0000, 6.6263, 0.0000], [0.0000, 0.0000, 4.4574]], "species": ["Sc", "Sc", "Sc", "Sc", "Re", "Re", "Re", "Re", "Nb", "Nb"], "fractional_positions": [[0.8264, 0.3264, 0.5000], [0.3264, 0.1736, 0.5000], [0.1736, 0.6736, 0.5000], [0.6736, 0.8264, 0.5000], [0.6299, 0.1299, 0.0000], [0.1299, 0.3701, 0.0000], [0.3701, 0.8701, 0.0000], [0.8701, 0.6299, 0.0000], [0.5000, 0.5000, 0.0000], [0.0000, 0.0000, 0.0000]], "dos_at_fermi_per_ev_fu": 4.74, "volume_a3_per_cell": 195.7, "energy_ev_per_fu": -47.36}